A relaxed K2BO3 crystal. Source: Alexandria, functional PBE.

Calculated values
The total moment comes out at 0.9 μB per formula unit. The calculation puts the uncorrected formation energy at -1.861 eV/atom. The value obtained for the energy above the most stable polymorph in this dataset is 0.021 eV/atom.

The structure in CIF format:
```
data_K2BO3
_space_group_name_H-M_alt 'F m m m'
_space_group_IT_number 69
_space_group_name_Hall '-F 2 2'
_cell_length_a 7.537
_cell_length_b 11.241
_cell_length_c 11.751
_cell_angle_alpha 90.00
_cell_angle_beta 90.00
_cell_angle_gamma 90.00
loop_
_atom_site_label
_atom_site_fract_x
_atom_site_fract_y
_atom_site_fract_z
_atom_site_occupancy
K1 0.241 0.000 0.000 1
K2 0.250 0.250 0.250 1
B1 0.000 0.000 0.221 1
O1 0.000 0.000 0.338 1
O2 0.000 0.105 0.162 1
```